! Yb3Pb (PBE, optimized geometry); values from VASP
&SYSTEM
  ibrav = 0, nat = 8, ntyp = 2
/
ATOMIC_SPECIES
Yb 173.04 Yb.upf
Pb 207.20 Pb.upf
ATOMIC_POSITIONS angstrom
Yb -6.6049 0.6742 -1.7268
Yb -3.9657 1.1994 3.7387
Yb -3.5456 2.1811 -2.2590
Yb -5.3830 -0.7491 1.2672
Yb -2.3237 0.7578 0.7350
Yb -4.9628 0.2326 -4.7305
Pb -3.7359 -1.2444 -1.8594
Pb -5.1927 2.6764 0.8677
CELL_PARAMETERS angstrom
-2.6039 4.5474 -2.0920
-2.9300 -4.0284 -5.1095
-3.3948 0.9130 6.2098
! ρ   9.69 g/cm3
! Magnetic moment   0.0 μB per formula unit
! VASP energy   -19.8 eV/cell
! Volume   248.8 Å³/cell



! Yb2Pb (PBE, optimized geometry); values from VASP
&SYSTEM
  ibrav = 0, nat = 12, ntyp = 2
/
ATOMIC_SPECIES
Pb 207.20 Pb.upf
Yb 173.04 Yb.upf
ATOMIC_POSITIONS angstrom
Pb -3.8864 -0.5373 8.1094
Pb -2.2089 -3.7301 3.9599
Pb 2.2045 -5.1805 3.5103
Pb 0.5271 -1.9877 7.6599
Yb 3.4395 -2.8806 6.1025
Yb 0.9952 -1.9422 3.6940
Yb -0.5637 -4.1431 1.2811
Yb -1.1182 -1.5747 10.3386
Yb -2.6771 -3.7756 7.9258
Yb 0.2957 -4.6695 5.9899
Yb -5.1213 -2.8372 5.5173
Yb -1.9776 -1.0483 5.6298
CELL_PARAMETERS angstrom
-1.7044 -5.1059 -0.2598
5.3973 -2.0092 4.0786
-5.3748 1.3973 7.8009
! ρ   10.09 g/cm3
! Magnetic moment   0.5 μB per formula unit
! VASP energy   -33.6 eV/cell
! Volume   364.2 Å³/cell



! YbPb6 (PBE, optimized geometry); values from VASP
&SYSTEM
  ibrav = 0, nat = 7, ntyp = 2
/
ATOMIC_SPECIES
Pb 207.20 Pb.upf
Yb 173.04 Yb.upf
ATOMIC_POSITIONS angstrom
Pb -1.2422 0.8784 4.5643
Pb 1.2422 4.3920 1.5214
Pb 1.2422 -0.8784 4.5643
Pb 3.7267 0.0000 3.0429
Pb 3.7267 2.6352 1.5214
Pb -1.2422 3.5136 3.0429
Yb 0.0000 0.0000 0.0000
CELL_PARAMETERS angstrom
7.4535 0.0000 0.0000
-2.4845 7.0272 0.0000
-2.4845 -3.5136 6.0857
! ρ   7.38 g/cm3
! Magnetic moment   0.3 μB per formula unit
! VASP energy   -21.2 eV/cell
! Volume   318.8 Å³/cell



! Yb6Pb (PBE, optimized geometry); values from VASP
&SYSTEM
  ibrav = 0, nat = 7, ntyp = 2
/
ATOMIC_SPECIES
Yb 173.04 Yb.upf
Pb 207.20 Pb.upf
ATOMIC_POSITIONS angstrom
Yb 1.3330 4.7130 1.6326
Yb -1.3330 3.7704 3.2652
Yb 3.9991 0.0000 3.2652
Yb 3.9991 2.8278 1.6326
Yb -1.3330 0.9426 4.8979
Yb 1.3330 -0.9426 4.8979
Pb 0.0000 0.0000 0.0000
CELL_PARAMETERS angstrom
7.9982 0.0000 0.0000
-2.6661 7.5408 0.0000
-2.6661 -3.7704 6.5305
! ρ   5.25 g/cm3
! Magnetic moment   1.1 μB per formula unit
! VASP energy   -5.5 eV/cell
! Volume   393.9 Å³/cell



! YbZnPb (PBE, optimized geometry); values from VASP
&SYSTEM
  ibrav = 0, nat = 6, ntyp = 3
/
ATOMIC_SPECIES
Zn 65.41 Zn.upf
Pb 207.20 Pb.upf
Yb 173.04 Yb.upf
ATOMIC_POSITIONS angstrom
Zn 2.3961 1.3834 7.1266
Zn 0.0000 2.7668 3.3624
Pb 2.3961 1.3834 4.0302
Pb 0.0000 2.7668 0.2660
Yb 0.0000 0.0000 1.9500
Yb 0.0000 0.0000 5.7142
CELL_PARAMETERS angstrom
4.7922 0.0000 0.0000
-2.3961 4.1502 0.0000
0.0000 0.0000 7.5283
! ρ   9.88 g/cm3
! Magnetic moment   0.2 μB per formula unit
! VASP energy   -15.3 eV/cell
! Volume   149.7 Å³/cell



! ZnPb7 (PBE, optimized geometry); values from VASP
&SYSTEM
  ibrav = 0, nat = 8, ntyp = 2
/
ATOMIC_SPECIES
Pb 207.20 Pb.upf
Zn 65.41 Zn.upf
ATOMIC_POSITIONS angstrom
Pb 3.4939 0.0000 0.0000
Pb 5.2408 1.0086 2.8527
Pb 5.2408 3.0258 0.0000
Pb 1.7469 3.0258 0.0000
Pb 1.7469 1.0086 2.8527
Pb 3.4939 4.0344 2.8527
Pb 6.9877 4.0344 2.8527
Zn 0.0000 0.0000 0.0000
CELL_PARAMETERS angstrom
6.9877 0.0000 0.0000
3.4939 6.0516 0.0000
3.4939 2.0172 5.7055
! ρ   10.43 g/cm3
! Magnetic moment   0.0 μB per formula unit
! VASP energy   -26.6 eV/cell
! Volume   241.3 Å³/cell